No. 1
DFT (PBE) results for crystalline ReTcP2 at its relaxed geometry.

Output
E_form = -1.2 eV per formula unit
mass density = 10.670 g/cm³
magnetization = 0.00 μB per formula unit
SG = Cm (8)

a = 4.432 Å, b = 4.432 Å, c = 4.438 Å
α = 75.53°, β = 75.53°, γ = 39.87°
Element x y z (fractional)
P  0.994  0.994  0.037
P  0.757  0.757  0.711
Re  0.496  0.496  0.584
Tc  0.254  0.254  0.168

No. 2
DFT (PBE) results for crystalline CaB2Pb2O6 at its relaxed geometry.

Output
ΔE_f (raw) = -2.12 eV/atom
mass density = 6.377 g/cm³
magnetization = 0.00 μB per formula unit
SG = C2/m (12)

a = 5.453 Å, b = 5.462 Å, c = 6.783 Å
α = 117.07°, β = 90.00°, γ = 119.95°
Element x y z (fractional)
Ca  0.500  0.000  0.500
B  0.956  0.912  0.751
B  0.044  0.088  0.249
Pb  0.708  0.415  0.168
Pb  0.292  0.585  0.832
O  0.791  0.581  0.672
O  0.171  0.906  0.213
O  0.265  0.094  0.787
O  0.829  0.094  0.787
O  0.735  0.906  0.213
O  0.209  0.419  0.328

No. 3
DFT (PBE) results for crystalline CoSi3W at its relaxed geometry.

Output
ΔE_f (raw) = 0.92 eV/atom
mass density = 7.105 g/cm³
magnetization = 0.86 μB per formula unit
SG = Pm-3m (221)

a = 4.244 Å, b = 4.244 Å, c = 4.244 Å
α = 90.00°, β = 90.00°, γ = 90.00°
Last column: magnetic moment on the atom in μB.
Element x y z (fractional)
Si  0.000  0.500  0.000  -0.01
Si  0.000  0.000  0.500  -0.01
Si  0.500  0.000  0.000  0.00
Co  0.000  0.000  0.000  0.01
W  0.500  0.500  0.500  0.71

No. 4
DFT (PBE) results for crystalline TiAgPd6 at its relaxed geometry.

Output
E_form = -2.8 eV per formula unit
mass density = 10.585 g/cm³
magnetization = 0.00 μB per formula unit
SG = P4/mmm (123)

a = 3.955 Å, b = 3.955 Å, c = 7.967 Å
α = 90.00°, β = 90.00°, γ = 90.00°
Element x y z (fractional)
Ti  0.000  0.000  0.500
Ag  0.000  0.000  0.000
Pd  0.500  0.500  0.000
Pd  0.500  0.500  0.500
Pd  0.500  0.000  0.261
Pd  0.500  0.000  0.739
Pd  0.000  0.500  0.261
Pd  0.000  0.500  0.739

No. 5
DFT (PBE) results for crystalline Pr2SmDy2Tm2 at its relaxed geometry.

Output
E_form = 0.8 eV per formula unit
mass density = 7.803 g/cm³
magnetization = 0.00 μB per formula unit
SG = C2/m (12)

a = 3.499 Å, b = 6.146 Å, c = 11.720 Å
α = 104.62°, β = 90.00°, γ = 106.54°
Element x y z (fractional)
Pr  0.536  0.073  0.785
Pr  0.464  0.927  0.215
Sm  0.000  0.000  0.500
Dy  0.852  0.703  0.937
Dy  0.148  0.297  0.063
Tm  0.235  0.469  0.369
Tm  0.765  0.531  0.631

No. 6
DFT (PBE) results for crystalline FePIr2 at its relaxed geometry.

Output
E_form = 0.7 eV per formula unit
mass density = 14.161 g/cm³
magnetization = 2.84 μB per formula unit
SG = Pmmm (47)

a = 2.770 Å, b = 4.632 Å, c = 4.307 Å
α = 90.00°, β = 90.00°, γ = 90.00°
Last column: magnetic moment on the atom in μB.
Element x y z (fractional)
Fe  0.000  0.500  0.500  2.60
Ir  0.000  0.000  0.000  0.10
Ir  0.500  0.500  0.000  0.19
P  0.500  0.000  0.500  -0.04

Number 2 is which compound?
CaB2Pb2O6